1.
The following is a PBE calculation of a relaxed Zr crystal, from Alexandria.

```
data_Zr
_chemical_formula_sum 'Zr1'
_cell_length_a 3.0904
_cell_length_b 3.0904
_cell_length_c 3.0904
_cell_angle_alpha 109.47
_cell_angle_beta 109.47
_cell_angle_gamma 109.47
_symmetry_space_group_name_H-M 'P 1'
_symmetry_Int_Tables_number 1
_symmetry_space_group_name_Hall 'P 1'
loop_
_atom_site_label
_atom_site_type_symbol
_atom_site_fract_x
_atom_site_fract_y
_atom_site_fract_z
_atom_site_occupancy
Zr1 Zr 0.0000 0.0000 0.0000 1
```

Values from the calculation:
The calculation puts the calculated total energy at -8.471 eV per atom. The formation energy is 0.0775 eV per atom. The symmetry is Im-3m.


2.
The following is a PBE calculation of a relaxed NaHgBi2 crystal, from Alexandria.

```
data_NaHgBi2
_chemical_formula_sum 'Na2 Hg2 Bi4'
_cell_length_a 9.1426
_cell_length_b 9.1426
_cell_length_c 7.1745
_cell_angle_alpha 50.42
_cell_angle_beta 50.42
_cell_angle_gamma 90.00
_symmetry_space_group_name_H-M 'P 1'
_symmetry_Int_Tables_number 1
_symmetry_space_group_name_Hall 'P 1'
loop_
_atom_site_label
_atom_site_type_symbol
_atom_site_fract_x
_atom_site_fract_y
_atom_site_fract_z
_atom_site_occupancy
Na1 Na 0.5000 0.5000 0.0000 1
Na2 Na 0.2500 0.7500 0.5000 1
Bi1 Bi 0.6843 0.1250 0.2500 1
Bi2 Bi 0.0657 0.6250 0.2500 1
Bi3 Bi 0.3750 0.3157 0.7500 1
Bi4 Bi 0.8750 0.9343 0.7500 1
Hg1 Hg 0.0000 0.0000 0.0000 1
Hg2 Hg 0.7500 0.2500 0.5000 1
```

Values from the calculation:
The calculation puts the calculated total energy at -2.385 eV per atom. The formation energy is -0.0391 eV per atom. The symmetry is I-42d.


3.
The following is a PBE calculation of a relaxed Tb2Dy crystal, from Alexandria.

```
data_Tb2Dy
_chemical_formula_sum 'Tb2 Dy1'
_cell_length_a 4.1723
_cell_length_b 4.1723
_cell_length_c 6.2158
_cell_angle_alpha 109.53
_cell_angle_beta 109.53
_cell_angle_gamma 90.09
_symmetry_space_group_name_H-M 'P 1'
_symmetry_Int_Tables_number 1
_symmetry_space_group_name_Hall 'P 1'
loop_
_atom_site_label
_atom_site_type_symbol
_atom_site_fract_x
_atom_site_fract_y
_atom_site_fract_z
_atom_site_occupancy
Tb1 Tb 0.1658 0.1658 0.3316 1
Tb2 Tb 0.8342 0.8342 0.6684 1
Dy1 Dy 0.5000 0.5000 0.0000 1
```

Values from the calculation:
The calculation puts the calculated total energy at -4.496 eV per atom. The formation energy is 0.1249 eV per atom. The symmetry is Fmmm.


4.
The following is a PBE calculation of a relaxed Te2Pb2I crystal, from Alexandria.

```
data_Te2Pb2I
_chemical_formula_sum 'Te2 Pb2 I1'
_cell_length_a 5.0373
_cell_length_b 5.0373
_cell_length_c 8.3011
_cell_angle_alpha 72.34
_cell_angle_beta 72.34
_cell_angle_gamma 90.00
_symmetry_space_group_name_H-M 'P 1'
_symmetry_Int_Tables_number 1
_symmetry_space_group_name_Hall 'P 1'
loop_
_atom_site_label
_atom_site_type_symbol
_atom_site_fract_x
_atom_site_fract_y
_atom_site_fract_z
_atom_site_occupancy
Pb1 Pb 0.3779 0.3779 0.2442 1
Pb2 Pb 0.6221 0.6221 0.7558 1
I1 I 0.0000 0.0000 0.0000 1
Te1 Te 0.7500 0.2500 0.5000 1
Te2 Te 0.2500 0.7500 0.5000 1
```

Values from the calculation:
The calculation puts the calculated total energy at -3.309 eV per atom. For the formation energy from raw total energies, the calculation gives -0.2592 eV/atom. The symmetry is I4/mmm.


5.
The following is a PBE calculation of a relaxed Hf2ScGa crystal, from Alexandria.

```
data_Hf2ScGa
_chemical_formula_sum 'Hf2 Sc1 Ga1'
_cell_length_a 4.8641
_cell_length_b 4.8641
_cell_length_c 4.8641
_cell_angle_alpha 60.00
_cell_angle_beta 60.00
_cell_angle_gamma 60.00
_symmetry_space_group_name_H-M 'P 1'
_symmetry_Int_Tables_number 1
_symmetry_space_group_name_Hall 'P 1'
loop_
_atom_site_label
_atom_site_type_symbol
_atom_site_fract_x
_atom_site_fract_y
_atom_site_fract_z
_atom_site_occupancy
Hf1 Hf 0.0000 0.0000 0.0001 1
Hf2 Hf 0.2500 0.2500 0.2501 1
Sc1 Sc 0.5000 0.5000 0.5000 1
Ga1 Ga 0.7501 0.7501 0.7498 1
```

Values from the calculation:
The calculation puts the calculated total energy at -7.352 eV per atom. The formation energy is -0.0359 eV per atom. The symmetry is F-43m.


6.
The following is a PBE calculation of a relaxed Sm2C2S crystal, from Alexandria.

```
data_Sm2C2S
_chemical_formula_sum 'Sm4 C4 S2'
_cell_length_a 3.9534
_cell_length_b 6.8865
_cell_length_c 7.3482
_cell_angle_alpha 104.30
_cell_angle_beta 105.61
_cell_angle_gamma 90.00
_symmetry_space_group_name_H-M 'P 1'
_symmetry_Int_Tables_number 1
_symmetry_space_group_name_Hall 'P 1'
loop_
_atom_site_label
_atom_site_type_symbol
_atom_site_fract_x
_atom_site_fract_y
_atom_site_fract_z
_atom_site_occupancy
Sm1 Sm 0.8478 0.1548 0.2658 1
Sm2 Sm 0.4180 0.6548 0.2658 1
Sm3 Sm 0.1522 0.8452 0.7342 1
Sm4 Sm 0.5820 0.3452 0.7342 1
C1 C 0.9406 0.4645 0.5619 1
C2 C 0.3787 0.0355 0.4381 1
C3 C 0.0594 0.5355 0.4381 1
C4 C 0.6213 0.9645 0.5619 1
S1 S 0.7805 0.7500 0.0000 1
S2 S 0.2195 0.2500 0.0000 1
```

Values from the calculation:
The calculation puts the calculated total energy at -7.341 eV per atom. For the formation energy from raw total energies, the calculation gives -0.9380 eV/atom. The symmetry is C2/c.


7.
The following is a PBE calculation of a relaxed Si3C crystal, from Alexandria.

```
data_Si3C
_chemical_formula_sum 'Si3 C1'
_cell_length_a 3.7092
_cell_length_b 3.7092
_cell_length_c 6.6851
_cell_angle_alpha 60.41
_cell_angle_beta 60.41
_cell_angle_gamma 44.93
_symmetry_space_group_name_H-M 'P 1'
_symmetry_Int_Tables_number 1
_symmetry_space_group_name_Hall 'P 1'
loop_
_atom_site_label
_atom_site_type_symbol
_atom_site_fract_x
_atom_site_fract_y
_atom_site_fract_z
_atom_site_occupancy
Si1 Si 0.5000 0.5000 0.5000 1
Si2 Si 0.6320 0.6320 0.7765 1
Si3 Si 0.3680 0.3680 0.2235 1
C1 C 0.0000 0.0000 0.0000 1
```

Values from the calculation:
The calculation puts the calculated total energy at -5.817 eV per atom. For the formation energy from raw total energies, the calculation gives 0.5562 eV/atom. The symmetry is C2/m.


8.
The following is a PBE calculation of a relaxed CoBAsBr2 crystal, from Alexandria.

```
data_CoBAsBr2
_chemical_formula_sum 'Co1 B1 As1 Br2'
_cell_length_a 5.0880
_cell_length_b 5.0880
_cell_length_c 4.3652
_cell_angle_alpha 90.00
_cell_angle_beta 90.00
_cell_angle_gamma 90.00
_symmetry_space_group_name_H-M 'P 1'
_symmetry_Int_Tables_number 1
_symmetry_space_group_name_Hall 'P 1'
loop_
_atom_site_label
_atom_site_type_symbol
_atom_site_fract_x
_atom_site_fract_y
_atom_site_fract_z
_atom_site_occupancy
As1 As 0.0000 0.0000 0.5000 1
B1 B 0.5000 0.5000 0.5000 1
Co1 Co 0.0000 0.0000 0.0000 1
Br1 Br 0.0000 0.5000 0.0000 1
Br2 Br 0.5000 0.0000 0.0000 1
```

Values from the calculation:
The calculation puts the calculated total energy at -3.280 eV per atom. For the formation energy from raw total energies, the calculation gives 1.0757 eV/atom. The symmetry is P4/mmm.


9.
The following is a PBE calculation of a relaxed HgRu3 crystal, from Alexandria.

```
data_HgRu3
_chemical_formula_sum 'Hg1 Ru3'
_cell_length_a 2.8213
_cell_length_b 2.8213
_cell_length_c 9.0346
_cell_angle_alpha 90.00
_cell_angle_beta 90.00
_cell_angle_gamma 120.00
_symmetry_space_group_name_H-M 'P 1'
_symmetry_Int_Tables_number 1
_symmetry_space_group_name_Hall 'P 1'
loop_
_atom_site_label
_atom_site_type_symbol
_atom_site_fract_x
_atom_site_fract_y
_atom_site_fract_z
_atom_site_occupancy
Hg1 Hg 0.0000 0.0000 0.0000 1
Ru1 Ru 0.0000 0.0000 0.5000 1
Ru2 Ru 0.3333 0.6667 0.2745 1
Ru3 Ru 0.3333 0.6667 0.7255 1
```

Values from the calculation:
The calculation puts the calculated total energy at -6.733 eV per atom. The formation energy is 0.2997 eV per atom. The symmetry is P-6m2.


10.
The following is a PBE calculation of a relaxed PmNdInPb crystal, from Alexandria.

```
data_PmNdInPb
_chemical_formula_sum 'Pm1 Nd1 In1 Pb1'
_cell_length_a 5.5201
_cell_length_b 5.5201
_cell_length_c 5.5201
_cell_angle_alpha 60.00
_cell_angle_beta 60.00
_cell_angle_gamma 60.00
_symmetry_space_group_name_H-M 'P 1'
_symmetry_Int_Tables_number 1
_symmetry_space_group_name_Hall 'P 1'
loop_
_atom_site_label
_atom_site_type_symbol
_atom_site_fract_x
_atom_site_fract_y
_atom_site_fract_z
_atom_site_occupancy
Pb1 Pb 0.0000 0.0000 0.0000 1
In1 In 0.5000 0.5000 0.5000 1
Nd1 Nd 0.7500 0.7500 0.7500 1
Pm1 Pm 0.2500 0.2500 0.2500 1
```

Values from the calculation:
The calculation puts the calculated total energy at -4.452 eV per atom. The formation energy is -0.4607 eV per atom. The symmetry is F-43m.


11.
The following is a PBE calculation of a relaxed CaTe2H crystal, from Alexandria.

```
data_CaTe2H
_chemical_formula_sum 'Ca1 Te2 H1'
_cell_length_a 9.5277
_cell_length_b 9.5277
_cell_length_c 9.5277
_cell_angle_alpha 21.41
_cell_angle_beta 21.41
_cell_angle_gamma 21.41
_symmetry_space_group_name_H-M 'P 1'
_symmetry_Int_Tables_number 1
_symmetry_space_group_name_Hall 'P 1'
loop_
_atom_site_label
_atom_site_type_symbol
_atom_site_fract_x
_atom_site_fract_y
_atom_site_fract_z
_atom_site_occupancy
H1 H 0.5000 0.5000 0.5000 1
Ca1 Ca 0.0000 0.0000 0.0000 1
Te1 Te 0.8898 0.8898 0.8898 1
Te2 Te 0.1102 0.1102 0.1102 1
```

Values from the calculation:
The calculation puts the calculated total energy at -2.478 eV per atom. The symmetry is R-3m.


12.
The following is a PBE calculation of a relaxed ZrPtSe2N crystal, from Alexandria.

```
data_ZrPtSe2N
_chemical_formula_sum 'Zr1 Pt1 Se2 N1'
_cell_length_a 5.1794
_cell_length_b 5.1794
_cell_length_c 3.6880
_cell_angle_alpha 90.00
_cell_angle_beta 90.00
_cell_angle_gamma 90.00
_symmetry_space_group_name_H-M 'P 1'
_symmetry_Int_Tables_number 1
_symmetry_space_group_name_Hall 'P 1'
loop_
_atom_site_label
_atom_site_type_symbol
_atom_site_fract_x
_atom_site_fract_y
_atom_site_fract_z
_atom_site_occupancy
Se1 Se 0.0000 0.5000 0.0000 1
Se2 Se 0.5000 0.0000 0.0000 1
Zr1 Zr 0.5000 0.5000 0.5000 1
Pt1 Pt 0.0000 0.0000 0.0000 1
N1 N 0.0000 0.0000 0.5000 1
```

Values from the calculation:
The calculation puts the calculated total energy at -5.734 eV per atom. For the formation energy from raw total energies, the calculation gives 0.2427 eV/atom. The symmetry is P4/mmm.


13.
The following is a PBE calculation of a relaxed ErH2I crystal, from Alexandria.

```
data_ErH2I
_chemical_formula_sum 'Er1 H2 I1'
_cell_length_a 3.7605
_cell_length_b 3.7605
_cell_length_c 5.6168
_cell_angle_alpha 70.44
_cell_angle_beta 70.44
_cell_angle_gamma 60.00
_symmetry_space_group_name_H-M 'P 1'
_symmetry_Int_Tables_number 1
_symmetry_space_group_name_Hall 'P 1'
loop_
_atom_site_label
_atom_site_type_symbol
_atom_site_fract_x
_atom_site_fract_y
_atom_site_fract_z
_atom_site_occupancy
I1 I 0.5000 0.5000 0.5000 1
H1 H 0.3086 0.3086 0.0741 1
H2 H 0.6914 0.6914 0.9259 1
Er1 Er 0.0000 0.0000 0.0000 1
```

Values from the calculation:
The calculation puts the calculated total energy at -3.942 eV per atom. The symmetry is R-3m.